Computed, not measured: a geometry-optimized AcLa4Nd6 structure at the PBE level of DFT.

crystal system	tetragonal
calculated formation energy	27	kJ/mol of atoms
energy	-4.483	eV per atom
ΔE to the lowest computed polymorph	0.000	eV per atom
density of states at the Fermi level	17.811	states/eV/f.u.
total magnetization	0.0	μB per formula unit
space group	I-42m, No. 121

a b c (Å): 10.064 10.064 10.064
angles (deg): 57.96 139.93 139.93
Fractional coordinates of all 11 atoms:
Ac1 0.000 0.000 0.000
Nd1 0.650 0.203 0.203
Nd2 0.500 0.500 0.000
Nd3 0.500 0.000 0.500
Nd4 0.350 0.553 0.553
Nd5 0.000 0.447 0.797
Nd6 0.000 0.797 0.447
La1 0.000 0.010 0.627
La2 0.618 0.990 0.990
La3 0.000 0.627 0.010
La4 0.382 0.373 0.373